The following is a DFT calculation (PBE) of a relaxed DyTlZnTe3 crystal.

Summary:
Calculated total energy = -89.15 eV per cell
Magnetization = 0.001 μB per formula unit
Crystal system = orthorhombic

Cell and atoms, written as POSCAR:
```
DyTlZnTe3
1.0
-0.194 2.096 -3.971
-2.186 -10.955 -5.676
-13.098 1.791 1.587
Dy Te Tl Zn
4 12 4 4
Cartesian
-3.462 -4.344 -3.395 Dy
-6.350 -9.576 -6.016 Dy
-9.129 2.508 -2.044 Dy
-12.017 -2.724 -4.665 Dy
-2.294 -4.854 -6.265 Te
-4.279 -8.687 -8.191 Te
-3.016 -1.586 -1.961 Te
-5.701 -6.846 -4.607 Te
-5.673 -2.869 -5.052 Te
-6.064 1.289 -2.838 Te
-9.414 -8.357 -5.222 Te
-9.805 -4.199 -3.008 Te
-9.778 -0.222 -3.453 Te
-12.463 -5.482 -6.098 Te
-11.199 1.618 0.131 Te
-13.184 -2.214 -1.795 Te
-1.927 -8.442 -5.633 Tl
-7.209 -2.092 -2.023 Tl
-8.269 -4.976 -6.037 Tl
-13.551 1.373 -2.427 Tl
-4.419 -6.343 -6.947 Zn
-4.631 -0.687 -3.951 Zn
-10.848 -6.381 -4.109 Zn
-11.060 -0.725 -1.113 Zn
```


The following is a DFT calculation (PBE) of a relaxed Dy6Tm2Te crystal.

Summary:
Calculated total energy = -42.20 eV per cell
Magnetization = 0.010 μB per formula unit
Crystal system = hexagonal

Cell and atoms, written as POSCAR:
```
Dy6Tm2Te
1.0
-8.345 -2.748 -2.746
5.200 -5.553 5.183
-1.508 1.481 3.099
Dy Te Tm
6 1 2
Cartesian
-5.140 -1.693 -1.692 Dy
-1.208 -3.188 0.936 Dy
3.203 -3.420 3.192 Dy
-3.047 -0.015 0.795 Dy
0.675 -0.786 2.974 Dy
-3.035 -5.279 3.316 Dy
0.000 0.000 0.000 Te
-4.584 -2.943 1.446 Tm
-0.069 -3.878 4.089 Tm
```


The following is a DFT calculation (PBE) of a relaxed DyTmTe2 crystal.

Summary:
Calculated total energy = -20.24 eV per cell
Magnetization = 0.004 μB per formula unit
Crystal system = tetragonal

Cell and atoms, written as POSCAR:
```
DyTmTe2
1.0
-1.278 -1.812 3.708
-2.901 -2.366 -2.156
4.155 -4.428 -0.732
Dy Te Tm
1 2 1
Cartesian
0.000 0.000 0.000 Dy
-2.089 -2.089 0.776 Te
2.077 -2.214 -0.366 Te
-0.012 -4.303 0.410 Tm
```


The following is a DFT calculation (PBE) of a relaxed DyTm2Te3 crystal.

Summary:
Calculated total energy = -30.19 eV per cell
Magnetization = 0.009 μB per formula unit
Crystal system = trigonal

Cell and atoms, written as POSCAR:
```
DyTm2Te3
1.0
-1.794 -2.212 3.235
0.361 -1.798 -3.901
9.495 -3.830 2.646
Dy Te Tm
1 3 2
Cartesian
0.000 0.000 0.000 Dy
1.265 -2.590 -1.070 Te
4.748 -1.915 1.323 Te
6.798 -5.251 3.051 Te
2.100 -3.355 1.742 Tm
5.962 -4.486 0.239 Tm
```


The following is a DFT calculation (PBE) of a relaxed DyTmTe crystal.

Summary:
Calculated total energy = -13.44 eV per cell
Magnetization = 0.949 μB per formula unit
Crystal system = cubic

Cell and atoms, written as POSCAR:
```
DyTmTe
1.0
0.000 3.555 3.555
3.555 0.000 3.555
3.555 3.555 0.000
Dy Te Tm
1 1 1
Cartesian
1.777 1.777 1.777 Dy
0.000 0.000 0.000 Te
5.332 5.332 5.332 Tm
```


The following is a DFT calculation (PBE) of a relaxed DyTmTe2 crystal.

Summary:
Calculated total energy = -39.23 eV per cell
Magnetization = 0.261 μB per formula unit
Crystal system = tetragonal

Cell and atoms, written as POSCAR:
```
DyTmTe2
1.0
-6.741 -0.132 3.602
-0.642 -7.473 -1.475
1.885 -0.852 3.496
Dy Te Tm
2 4 2
Cartesian
0.265 -4.001 0.349 Dy
-2.071 -0.653 4.211 Dy
-1.701 -1.810 1.359 Te
-4.976 -6.113 2.076 Te
-3.936 -2.919 5.248 Te
-0.383 -6.071 2.564 Te
0.943 -0.426 1.748 Tm
-2.749 -4.228 2.812 Tm
```


The following is a DFT calculation (PBE) of a relaxed Dy2Tm6Te crystal.

Summary:
Calculated total energy = -41.67 eV per cell
Magnetization = 0.014 μB per formula unit
Crystal system = hexagonal

Cell and atoms, written as POSCAR:
```
Dy2Tm6Te
1.0
-5.066 1.781 7.354
2.322 -8.584 -1.958
3.101 0.372 2.046
Dy Te Tm
2 1 6
Cartesian
-1.053 -1.488 5.273 Dy
1.410 -4.943 2.169 Dy
0.000 0.000 0.000 Te
-3.118 1.096 4.526 Tm
-1.055 -2.616 2.075 Tm
1.429 -5.283 -1.205 Tm
0.154 0.677 3.050 Tm
2.190 -2.180 0.483 Tm
-0.437 -4.742 4.931 Tm
```


The following is a DFT calculation (PBE) of a relaxed Dy5Tm3Te crystal.

Summary:
Calculated total energy = -42.07 eV per cell
Magnetization = 0.023 μB per formula unit
Crystal system = hexagonal

Cell and atoms, written as POSCAR:
```
Dy5Tm3Te
1.0
-2.007 -8.624 -2.331
8.703 2.843 -0.032
0.358 -1.054 3.592
Dy Te Tm
5 1 3
Cartesian
-0.373 -2.897 1.156 Dy
2.570 0.254 1.787 Dy
1.742 -5.328 0.232 Dy
5.312 -1.506 0.998 Dy
5.035 -4.719 0.083 Dy
0.000 0.000 0.000 Te
-1.237 -5.317 -1.437 Tm
2.568 -2.217 -0.906 Tm
5.366 1.753 -0.020 Tm
```


The following is a DFT calculation (PBE) of a relaxed DyY2Te3 crystal.

Summary:
Calculated total energy = -34.75 eV per cell
Magnetization = 0.013 μB per formula unit
Crystal system = trigonal

Cell and atoms, written as POSCAR:
```
DyY2Te3
1.0
-4.056 -0.447 -1.510
3.392 -0.712 -2.630
0.065 -10.316 2.878
Dy Te Y
1 3 2
Cartesian
0.000 0.000 0.000 Dy
0.920 -2.340 -1.778 Te
0.033 -5.158 1.439 Te
-1.519 -9.136 0.516 Te
-1.551 -3.973 -0.925 Y
0.953 -7.503 -0.338 Y
```


The following is a DFT calculation (PBE) of a relaxed DyY2Te crystal.

Summary:
Calculated total energy = -46.73 eV per cell
Magnetization = 0.008 μB per formula unit
Crystal system = orthorhombic

Cell and atoms, written as POSCAR:
```
DyY2Te
1.0
1.983 -6.090 0.000
1.983 6.090 0.000
0.000 0.000 9.768
Dy Te Y
2 2 4
Cartesian
1.983 0.704 2.442 Dy
1.983 -0.704 7.326 Dy
1.983 -2.883 2.442 Te
1.983 2.883 7.326 Te
1.983 4.446 0.377 Y
1.983 4.446 4.507 Y
1.983 -4.446 5.261 Y
1.983 -4.446 9.391 Y
```


The following is a DFT calculation (PBE) of a relaxed Dy2Y6Te crystal.

Summary:
Calculated total energy = -53.85 eV per cell
Magnetization = 0.040 μB per formula unit
Crystal system = hexagonal

Cell and atoms, written as POSCAR:
```
Dy2Y6Te
1.0
-5.958 -2.076 -6.727
9.073 -0.238 -1.640
0.093 -3.661 1.047
Dy Te Y
2 1 6
Cartesian
-0.901 -3.294 -4.508 Dy
4.109 -2.682 -2.812 Dy
0.000 0.000 0.000 Te
-3.673 -1.280 -4.147 Y
1.194 -0.887 -3.209 Y
5.593 -0.147 -1.011 Y
-1.577 -2.396 -1.309 Y
2.519 -1.896 0.077 Y
2.312 -3.514 -5.563 Y
```


The following is a DFT calculation (PBE) of a relaxed Dy7Zn2Te2 crystal.

Summary:
Calculated total energy = -47.66 eV per cell
Magnetization = 0.024 μB per formula unit
Crystal system = orthorhombic

Cell and atoms, written as POSCAR:
```
Dy7Zn2Te2
1.0
-2.040 7.735 4.820
2.040 -7.735 4.820
2.040 7.735 -4.820
Dy Te Zn
7 2 2
Cartesian
0.000 0.000 3.136 Dy
0.000 1.973 7.097 Dy
2.040 -2.849 4.284 Dy
0.000 5.549 5.577 Dy
2.040 2.186 0.757 Dy
2.040 2.849 4.284 Dy
2.040 5.762 2.277 Dy
0.000 0.000 9.490 Te
0.000 7.735 0.840 Te
0.000 3.644 2.365 Zn
2.040 4.090 -2.456 Zn
```